Below is a relaxed structure of SrY2Al7Ag2, with properties calculated at the PBE level.

As for the density: 4.59 Mg/m³. The value obtained for the electronic total energy is -155.02 eV for the cell shown.

It has space group R-3m (No. 166, hexagonal axes), with a = 5.6226 Å, b = 5.6226 Å, c = 26.5741 Å, α = 90.00°, β = 90.00° and γ = 120.00°. The inequivalent atoms are Sr at (0.0000, 0.0000, 0.0000), Y at (0.0000, 0.0000, 0.1428), Al at (0.0000, 0.0000, 0.5000), Al at (0.0087, 0.5043, 0.9153) and Ag at (0.0000, 0.0000, 0.3358).